A relaxed ErTl3Br6 crystal, computed with PBE-GGA.

a b c (Å): 7.7078 8.5192 13.2472
angles (deg): 90.00 122.23 90.00
Fractional coordinates of all 20 atoms:
Br 0.3439 0.3318 0.0457
Br 0.2360 0.7735 0.0777
Br 0.0963 0.4398 0.2305
Br 0.9037 0.9398 0.2695
Br 0.7640 0.2735 0.4223
Br 0.6561 0.8318 0.4543
Br 0.3439 0.1682 0.5457
Br 0.2360 0.7265 0.5777
Br 0.0963 0.0602 0.7305
Br 0.9037 0.5602 0.7695
Br 0.7640 0.2265 0.9223
Br 0.6561 0.6682 0.9543
Er 0.0000 0.5000 0.0000
Er 0.0000 0.0000 0.5000
Tl 0.5000 0.0000 0.0000
Tl 0.7026 0.5791 0.2333
Tl 0.2974 0.0791 0.2667
Tl 0.5000 0.5000 0.5000
Tl 0.7026 0.9209 0.7333
Tl 0.2974 0.4209 0.7667

Output
Total DFT energy (no corrections), eV/atom: -3.451
Spin magnetization, μB/f.u.: 0.00